The following is a GGA-PBE calculation of a relaxed AlSiNi2 crystal, from Alexandria.

Lattice parameters (Å, degrees): 3.499 3.499 7.640 90.00 90.00 90.00
Sites, in units of the cell vectors:
Al: 0.000 0.000 0.000
Al: 0.500 0.500 0.500
Si: 0.000 0.500 0.250
Si: 0.500 0.000 0.750
Ni: 0.000 0.000 0.500
Ni: 0.000 0.500 0.750
Ni: 0.500 0.000 0.250
Ni: 0.500 0.500 0.000

**Raw formation energy**: -487 meV per atom
**Theoretical density**: 6.12 g/cm3
**Magnetic moment**: 0.000 μB/atom